An optimized crystal structure of Cs2Zn2Bi2H. Source: the Alexandria database, functional PBE. Values from VASP.

```
&SYSTEM
  ibrav = 0, nat = 7, ntyp = 4
/
ATOMIC_SPECIES
Cs 132.91 Cs.upf
Zn 65.41 Zn.upf
Bi 208.98 Bi.upf
H 1.01 H.upf
CELL_PARAMETERS angstrom
6.6133 -2.4116 0.0000
6.6133 2.4116 0.0000
-5.2605 0.0000 7.3326
ATOMIC_POSITIONS crystal
Cs 0.0563 0.0563 0.3200
Cs 0.9437 0.9437 0.6800
Zn 0.3392 0.3392 0.9274
Zn 0.6608 0.6608 0.0726
Bi 0.2911 0.2911 0.2044
Bi 0.7089 0.7089 0.7956
H 0.5000 0.5000 0.0000
```

Output
Raw total energy: -2.3865 eV/atom
Symmetry: C2/m (12)
Crystal system: monoclinic
Magnetic moment: 0.0 μB per cell



An optimized crystal structure of Cs2ZnBiH. Source: the Alexandria database, functional PBE. Values from VASP.

```
&SYSTEM
  ibrav = 0, nat = 10, ntyp = 4
/
ATOMIC_SPECIES
Cs 132.91 Cs.upf
Zn 65.41 Zn.upf
Bi 208.98 Bi.upf
H 1.01 H.upf
CELL_PARAMETERS angstrom
7.9002 0.0000 0.0000
0.0000 4.6800 0.0000
-3.8051 0.0000 10.4759
ATOMIC_POSITIONS crystal
Cs 0.2034 0.2500 0.4028
Cs 0.2177 0.2500 0.9579
Cs 0.7823 0.7500 0.0421
Cs 0.7966 0.7500 0.5972
Zn 0.4511 0.7500 0.2359
Zn 0.5489 0.2500 0.7641
Bi 0.3541 0.7500 0.7150
Bi 0.6459 0.2500 0.2850
H 0.2218 0.7500 0.1739
H 0.7782 0.2500 0.8261
```

Output
Raw total energy: -2.3327 eV/atom
Symmetry: P2_1/m (11)
Crystal system: monoclinic
Magnetic moment: 0.0 μB per cell



An optimized crystal structure of Cs3HfBi3. Source: the Alexandria database, functional PBE. Values from VASP.

```
&SYSTEM
  ibrav = 0, nat = 14, ntyp = 3
/
ATOMIC_SPECIES
Cs 132.91 Cs.upf
Hf 178.49 Hf.upf
Bi 208.98 Bi.upf
CELL_PARAMETERS angstrom
5.4693 -6.5200 0.0000
5.4693 6.5200 0.0000
-1.4620 0.0000 10.3564
ATOMIC_POSITIONS crystal
Cs 0.1666 0.8334 0.0000
Cs 0.2896 0.7104 0.5000
Cs 0.3750 0.3750 0.1350
Cs 0.6250 0.6250 0.8650
Cs 0.7104 0.2896 0.5000
Cs 0.8334 0.1666 0.0000
Hf 0.1319 0.1319 0.6221
Hf 0.8681 0.8681 0.3779
Bi 0.1282 0.1282 0.3452
Bi 0.1688 0.4220 0.7874
Bi 0.4220 0.1688 0.7874
Bi 0.5780 0.8312 0.2126
Bi 0.8312 0.5780 0.2126
Bi 0.8718 0.8718 0.6548
```

Output
Raw total energy: -3.6961 eV/atom
Symmetry: C2/m (12)
Crystal system: monoclinic
Magnetic moment: 0.0 μB per cell



An optimized crystal structure of CsHf2Bi2. Source: the Alexandria database, functional PBE. Values from VASP.

```
&SYSTEM
  ibrav = 0, nat = 10, ntyp = 3
/
ATOMIC_SPECIES
Cs 132.91 Cs.upf
Hf 178.49 Hf.upf
Bi 208.98 Bi.upf
CELL_PARAMETERS angstrom
9.4210 0.0000 0.0000
0.0000 9.4210 0.0000
0.0000 0.0000 3.3344
ATOMIC_POSITIONS crystal
Cs 0.0000 0.0000 0.0000
Cs 0.5000 0.5000 0.0000
Hf 0.1115 0.3885 0.0000
Hf 0.3885 0.8885 0.0000
Hf 0.6115 0.1115 0.0000
Hf 0.8885 0.6115 0.0000
Bi 0.1688 0.6688 0.5000
Bi 0.3312 0.1688 0.5000
Bi 0.6688 0.8312 0.5000
Bi 0.8312 0.3312 0.5000
```

Output
Distance to the lowest polymorph of the same formula: 25.3 kJ per mole of atoms
Symmetry: P4/mbm (127)
Crystal system: tetragonal
Magnetic moment: 0.0 μB per cell



An optimized crystal structure of CsHf2Bi2. Source: the Alexandria database, functional PBE. Values from VASP.

```
&SYSTEM
  ibrav = 0, nat = 5, ntyp = 3
/
ATOMIC_SPECIES
Cs 132.91 Cs.upf
Hf 178.49 Hf.upf
Bi 208.98 Bi.upf
CELL_PARAMETERS angstrom
-2.3372 2.3372 8.3299
2.3372 -2.3372 8.3299
2.3372 2.3372 -8.3299
ATOMIC_POSITIONS crystal
Cs 0.0000 0.0000 0.0000
Hf 0.2500 0.7500 0.5000
Hf 0.7500 0.2500 0.5000
Bi 0.3605 0.3605 0.0000
Bi 0.6395 0.6395 0.0000
```

Output
Distance to the lowest polymorph of the same formula: 0.0 kJ per mole of atoms
Symmetry: I4/mmm (139)
Crystal system: tetragonal
Magnetic moment: 0.0 μB per cell



An optimized crystal structure of CsHf3Bi. Source: the Alexandria database, functional PBE. Values from VASP.

```
&SYSTEM
  ibrav = 0, nat = 5, ntyp = 3
/
ATOMIC_SPECIES
Cs 132.91 Cs.upf
Hf 178.49 Hf.upf
Bi 208.98 Bi.upf
CELL_PARAMETERS angstrom
5.3008 0.0000 0.0000
0.0000 5.3008 0.0000
0.0000 0.0000 5.3008
ATOMIC_POSITIONS crystal
Cs 0.0000 0.0000 0.0000
Hf 0.0000 0.0000 0.5000
Hf 0.0000 0.5000 0.0000
Hf 0.5000 0.0000 0.0000
Bi 0.5000 0.5000 0.5000
```

Output
Distance to the lowest polymorph of the same formula: 62.5 kJ per mole of atoms
Symmetry: Pm-3m (221)
Crystal system: cubic
Magnetic moment: 1.5 μB per cell